# 1
{
  "formula": "SrZr2Mo",
  "functional": "PBE",
  "state": "optimized geometry",
  "cell": [[5.623, 0.000, 0.000], [0.000, 5.623, 0.000], [0.000, 0.000, 17.356]],
  "species": ["Sr", "Sr", "Sr", "Sr", "Zr", "Zr", "Zr", "Zr", "Zr", "Zr", "Zr", "Zr", "Mo", "Mo", "Mo", "Mo"],
  "fractional_positions": [[0.000, 0.250, 0.375], [0.000, 0.750, 0.625], [0.500, 0.250, 0.125], [0.500, 0.750, 0.875], [0.000, 0.000, 0.000], [0.000, 0.500, 0.000], [0.250, 0.250, 0.750], [0.250, 0.750, 0.250], [0.500, 0.000, 0.500], [0.500, 0.500, 0.500], [0.750, 0.250, 0.750], [0.750, 0.750, 0.250], [0.000, 0.250, 0.875], [0.000, 0.750, 0.125], [0.500, 0.250, 0.625], [0.500, 0.750, 0.375]],
  "formation_energy_mev_per_atom": 1216,
  "e_above_lowest_polymorph_ev_per_fu": 4.039,
  "space_group": "No. 141",
  "dft_energy_ev_per_atom": -6.19
}

***

# 2
{
  "formula": "SrZr2Mo",
  "functional": "PBE",
  "state": "optimized geometry",
  "cell": [[7.161, 0.000, 0.000], [0.000, 7.161, 0.000], [0.000, 0.000, 7.161]],
  "species": ["Sr", "Sr", "Sr", "Sr", "Zr", "Zr", "Zr", "Zr", "Zr", "Zr", "Zr", "Zr", "Mo", "Mo", "Mo", "Mo"],
  "fractional_positions": [[0.000, 0.000, 0.000], [0.000, 0.500, 0.500], [0.500, 0.000, 0.500], [0.500, 0.500, 0.000], [0.250, 0.250, 0.250], [0.250, 0.250, 0.750], [0.250, 0.750, 0.250], [0.250, 0.750, 0.750], [0.750, 0.250, 0.250], [0.750, 0.250, 0.750], [0.750, 0.750, 0.250], [0.750, 0.750, 0.750], [0.000, 0.000, 0.500], [0.000, 0.500, 0.000], [0.500, 0.000, 0.000], [0.500, 0.500, 0.500]],
  "formation_energy_mev_per_atom": 624,
  "e_above_lowest_polymorph_ev_per_fu": 1.672,
  "space_group": "No. 225",
  "dft_energy_ev_per_atom": -6.78
}

***

What did the first record say?
{
  "formula": "SrZr2Mo",
  "functional": "PBE",
  "state": "optimized geometry",
  "cell": [[5.623, 0.000, 0.000], [0.000, 5.623, 0.000], [0.000, 0.000, 17.356]],
  "species": ["Sr", "Sr", "Sr", "Sr", "Zr", "Zr", "Zr", "Zr", "Zr", "Zr", "Zr", "Zr", "Mo", "Mo", "Mo", "Mo"],
  "fractional_positions": [[0.000, 0.250, 0.375], [0.000, 0.750, 0.625], [0.500, 0.250, 0.125], [0.500, 0.750, 0.875], [0.000, 0.000, 0.000], [0.000, 0.500, 0.000], [0.250, 0.250, 0.750], [0.250, 0.750, 0.250], [0.500, 0.000, 0.500], [0.500, 0.500, 0.500], [0.750, 0.250, 0.750], [0.750, 0.750, 0.250], [0.000, 0.250, 0.875], [0.000, 0.750, 0.125], [0.500, 0.250, 0.625], [0.500, 0.750, 0.375]],
  "formation_energy_mev_per_atom": 1216,
  "e_above_lowest_polymorph_ev_per_fu": 4.039,
  "space_group": "No. 141",
  "dft_energy_ev_per_atom": -6.19
}